Entry 1:
Cd6Ag | PBE | optimized geometry

The structure in POSCAR format:
```
Cd6Ag
1.0
6.9225 0.0000 0.0000
-2.3075 6.5266 0.0000
-2.3075 -3.2633 5.6522
Cd Ag
6 1
Cartesian
-1.1537 3.2633 2.8261
1.1537 4.0791 1.4130
-1.1537 0.8158 4.2391
3.4612 0.0000 2.8261
1.1537 -0.8158 4.2391
3.4612 2.4475 1.4130
0.0000 0.0000 0.0000
```

Calculated values
- Final energy: -0.66 eV per atom
- Calculated formation energy: 0.531 eV/atom



Entry 2:
TbThBeN3 | PBE | optimized geometry

The structure in POSCAR format:
```
TbThBeN3
1.0
3.3883 0.0000 0.0000
0.0000 7.2377 0.7917
0.0000 -1.9248 6.6253
Tb Th Be N
2 2 2 6
Cartesian
0.8471 4.3577 1.7527
2.5412 0.9552 5.6643
2.5412 4.4563 5.8747
0.8471 0.8567 1.5423
0.8471 -0.6169 4.0517
2.5412 5.9298 3.3653
0.8471 5.1867 3.9481
2.5412 6.1263 1.6604
2.5412 2.5854 1.4166
2.5412 0.1262 3.4689
0.8471 2.7275 6.0004
0.8471 -0.8133 5.7566
```

Calculated values
- ΔE_f (raw): -8.383 eV per formula unit
- Final energy: -8.19 eV per atom



Entry 3:
TeRu2AuSe | PBE | optimized geometry

The structure in POSCAR format:
```
TeRu2AuSe
1.0
-1.4778 -4.2989 0.0455
2.6268 -0.9535 -4.7645
3.7160 -1.2531 2.2995
Ru Te Au Se
2 1 1 1
Cartesian
1.8580 -0.6266 1.1497
-0.7389 -2.1494 0.0228
1.3134 -0.4767 -2.3822
2.4325 -3.2527 -1.2097
0.0000 0.0000 0.0000
```

Calculated values
- ΔE_f (raw): 5.652 eV per formula unit
- Final energy: -4.56 eV per atom



Entry 4:
PuCu2F11 | PBE | optimized geometry

The structure in POSCAR format:
```
PuCu2F11
1.0
5.3539 0.0000 2.7906
2.2837 9.1841 2.1498
-0.9658 0.1270 8.3841
Pu Cu F
2 4 22
Cartesian
4.4510 6.9833 9.7052
2.2208 2.3278 3.6193
4.5993 5.9101 6.0912
2.0725 3.4009 7.2333
4.1326 1.3816 9.8120
2.5392 7.9295 3.5125
3.9744 6.9602 7.6062
2.6974 2.3509 5.7183
1.4805 4.5360 8.4539
-0.5597 0.2465 5.8370
5.1913 4.7751 4.8706
7.2315 9.0646 7.4875
2.4574 7.0064 10.5167
4.2144 2.3046 2.8078
3.3359 4.6555 6.6622
0.0000 0.0000 0.0000
6.1262 6.9070 6.0350
0.5456 2.4041 7.2895
3.3042 2.3784 8.5281
3.3676 6.9327 4.7964
2.2229 0.3428 3.7198
4.4488 8.9683 9.6047
1.6285 2.1585 1.7137
0.3195 2.4970 4.2251
5.0433 7.1526 11.6108
6.3523 6.8140 9.0994
2.3044 4.3127 3.5635
4.3674 4.9983 9.7610
```

Calculated values
- ΔE_f (raw): -28.445 eV per formula unit
- Final energy: -5.11 eV per atom